Below is InS2I at its PBEsol-relaxed geometry, with properties calculated at the SCAN level.

Cell and atoms, written as POSCAR:
```
InS2I
1.0
-1.040 3.975 4.877
-5.614 -2.012 -2.261
-3.263 -3.089 4.526
I S In
2 4 2
direct
0.000 0.000 0.000
0.500 0.250 0.250
0.060 0.435 0.125
0.940 0.815 0.625
0.440 0.625 0.435
0.560 0.125 0.815
0.000 0.500 0.500
0.500 0.750 0.750
```

Properties
Crystal system = tetragonal
Relative energy among the computed polymorphs = 464 meV per atom
E_form (uncorrected) = 0.10 eV per atom
Space-group type = I-42d